VASP calculation (PBE) on a relaxed NaHfCuTe2S crystal.

## Properties
SG: P2_1/m
offset from the most stable computed form: 0.003 eV per atom
total magnetic moment: 0.0 μB per formula unit

Cell lengths 8.2050, 3.9347, 9.7497 Å; angles 90.00, 108.03, 90.00 degrees
With the nearest neighbours (Å) after each atom.
Fractional coordinates of all 12 atoms:
Te 0.9364 0.7500 0.1463  1 Cu 2.60, 2 Hf 2.86
Te 0.0636 0.2500 0.8537  1 Cu 2.60, 2 Hf 2.86
Te 0.4303 0.7500 0.1453  3 Hf 2.91-3.10, 2 Na 3.26
Te 0.5697 0.2500 0.8547  3 Hf 2.91-3.10, 2 Na 3.26
Hf 0.2972 0.7500 0.8115  1 S 2.47
Hf 0.7028 0.2500 0.1885  1 S 2.47
Cu 0.9197 0.7500 0.4081  3 S 2.41-2.45, 1 Te 2.60
Cu 0.0803 0.2500 0.5919  3 S 2.41-2.45, 1 Te 2.60
S 0.2254 0.7500 0.5463  3 Cu 2.41-2.45, 1 Hf 2.47
S 0.7746 0.2500 0.4537  3 Cu 2.41-2.45, 1 Hf 2.47
Na 0.7372 0.7500 0.6683  2 S 2.96, 2 Te 3.26
Na 0.2628 0.2500 0.3317  2 S 2.96, 2 Te 3.26